DFT (PBE) results for Li4Np3TiSe8 after structural relaxation.

Computed properties:
The value obtained for the raw total energy is -303.8 eV/cell. The value obtained for the formation energy (no corrections) is -1.188 eV/atom.

Cell lengths 7.9578, 7.9578, 19.5301 Å; angles 90.00, 90.00, 120.00 degrees
Space group R-3m (No. 166, hexagonal axes)
One atom of each set of equivalent atoms:
1 Li 0.0000 0.0000 0.0000 x3
2 Li 0.0000 0.5000 0.0000 x9
3 Np 0.0000 0.5000 0.5000 x9
4 Ti 0.0000 0.0000 0.5000 x3
5 Se 0.0000 0.0000 0.2541 x6
6 Se 0.0174 0.5087 0.2498 x18


DFT (PBE) results for TbPa2Ge after structural relaxation.

Computed properties:
The value obtained for the raw total energy is -82.7 eV/cell. The calculation puts the calculated formation energy at 168 meV/atom.

Cell lengths 3.1875, 3.1875, 34.1988 Å; angles 90.00, 90.00, 120.00 degrees
Space group R-3m (No. 166, hexagonal axes)
One atom of each set of equivalent atoms:
1 Tb 0.0000 0.0000 0.0000 x3
2 Pa 0.0000 0.0000 0.0944 x6
3 Ge 0.0000 0.0000 0.5000 x3


DFT (PBE) results for CaLaOs after structural relaxation.

Computed properties:
The value obtained for the raw total energy is -35.6 eV/cell. The calculation puts the calculated formation energy at 111 meV/atom.

Cell lengths 3.504, 3.504, 14.004 Å; angles 90.00, 90.00, 90.00 degrees
Space group I4mm (No. 107)
One atom of each set of equivalent atoms:
1 Ca 0.000 0.000 0.000 x2
2 La 0.000 0.000 0.241 x2
3 Os 0.000 0.000 0.628 x2